Computed, not measured: an optimized crystal structure of Zr2AgHg at the PBE-GGA level of DFT.

Values from the calculation:
As for the density of states at the Fermi level: 4.09 states/eV per cell. For the calculated formation energy, the calculation gives -0.0351 eV per atom.

POSCAR file:
```
Zr2AgHg
1.0
5.9487 0.0100 -0.0004
2.8155 5.2403 0.0004
-3.6872 -3.7851 2.7322
Ag Hg Zr
1 1 2
Cartesian
4.4260 2.6514 0.0000 Ag
3.2219 -0.6349 1.3659 Hg
0.0043 0.0025 0.0000 Zr
1.8070 2.0712 1.3663 Zr
```